Density functional theory data (PBE) for a relaxed structure of Cs2MgAg2Cl6.

Computed properties:
**Symmetry**: R-3m
**E_form (uncorrected)**: -1.378 eV per atom

Cell and atoms, written as POSCAR:
```
Cs2MgAg2Cl6
1.0
7.7594 0.0000 0.0000
3.8797 6.7199 0.0000
3.8797 2.2400 6.5607
Cs Ag Cl Mg
2 2 6 1
Cartesian
11.6392 6.7199 4.5499
3.8797 2.2400 2.0108
7.7594 4.4799 4.8068
7.7594 4.4799 1.7540
9.9132 3.2364 4.9895
5.6056 5.7234 1.5712
5.6056 3.2364 4.9895
7.7594 6.9669 4.9895
7.7594 1.9929 1.5712
9.9132 5.7234 1.5712
0.0000 0.0000 0.0000
```

---

Density functional theory data (PBE) for a relaxed structure of MgInSb.

Computed properties:
**Symmetry**: F-43m
**E_form (uncorrected)**: -0.120 eV per atom

Cell and atoms, written as POSCAR:
```
MgInSb
1.0
4.9441 0.0000 0.0000
2.4720 4.2817 0.0000
2.4720 1.4272 4.0368
Mg In Sb
1 1 1
Cartesian
2.4720 1.4272 1.0092
4.9441 2.8545 2.0184
0.0000 0.0000 0.0000
```

---

Density functional theory data (PBE) for a relaxed structure of SiPOs.

Computed properties:
**Symmetry**: Fmm2
**E_form (uncorrected)**: 0.380 eV per atom

Cell and atoms, written as POSCAR:
```
SiPOs
1.0
-1.4494 5.4821 2.9689
-3.8217 4.3976 1.7194
0.3570 -0.3165 2.8527
Os Si P
1 1 1
Cartesian
-5.2588 9.8575 4.6843
-3.3825 6.4583 4.0723
-1.5439 3.1273 3.4727
```

---

Density functional theory data (PBE) for a relaxed structure of KIr2O6.

Computed properties:
**Symmetry**: P-31m
**E_form (uncorrected)**: -0.911 eV per atom
**Polymorph energy (0 for the lowest one)**: 0 meV/atom

Cell and atoms, written as POSCAR:
```
KIr2O6
1.0
-3.9426 -3.4402 -2.6185
-0.0359 -3.2102 4.2717
-3.4013 4.1118 -0.2808
Ir O K
2 6 1
Cartesian
-4.2508 -0.0490 -0.0726
-3.1290 -2.4896 1.4450
-4.7785 -1.7871 0.6581
-4.6867 1.0487 1.4890
-4.0031 -0.7372 -1.8887
-2.6932 -3.5873 -0.1166
-3.3768 -1.8013 3.2611
-2.6014 -0.7515 0.7143
0.0000 0.0000 0.0000
```

---

Density functional theory data (PBE) for a relaxed structure of KCo3Pd.

Computed properties:
**Symmetry**: Pm-3m
**Polymorph energy (0 for the lowest one)**: 0 meV/atom
**Energy of formation from the pure elements**: 1.160 eV per atom

Cell and atoms, written as POSCAR:
```
KCo3Pd
1.0
-1.5433 3.9818 -2.1502
-4.5056 -1.1406 1.1218
0.4214 2.3883 4.1205
Co K Pd
3 1 1
Cartesian
-2.2528 -0.5703 0.5609
0.2107 1.1942 2.0602
-0.7717 1.9909 -1.0751
-2.8138 2.6148 1.5461
0.0000 0.0000 0.0000
```

---

Density functional theory data (PBE) for a relaxed structure of K2BaMg.

Computed properties:
**Symmetry**: Pmmm
**Polymorph energy (0 for the lowest one)**: 90 meV/atom
**Energy of formation from the pure elements**: 0.155 eV per atom

Cell and atoms, written as POSCAR:
```
K2BaMg
1.0
4.7785 0.0000 0.0000
0.0000 6.3643 0.0000
0.0000 0.0000 7.0192
Mg K Ba
1 2 1
Cartesian
2.3892 0.0000 3.5096
2.3892 3.1822 0.0000
0.0000 0.0000 0.0000
0.0000 3.1822 3.5096
```

---

Density functional theory data (PBE) for a relaxed structure of Nb2GeBiAs.

Computed properties:
**Symmetry**: P4/mmm
**Energy of formation from the pure elements**: 1.849 eV per atom

Cell and atoms, written as POSCAR:
```
Nb2GeBiAs
1.0
5.3439 0.0000 0.0000
0.0000 5.3079 0.0000
0.0000 0.0000 5.3439
Ge Bi As Nb
1 1 1 2
Cartesian
2.6720 2.6540 2.6720
0.0000 0.0000 0.0000
0.0000 2.6540 0.0000
2.6720 0.0000 0.0000
0.0000 0.0000 2.6720
```

---

Density functional theory data (PBE) for a relaxed structure of PmTh2Sb.

Computed properties:
**Symmetry**: P4/mmm
**E_form (uncorrected)**: -0.435 eV per atom
**Polymorph energy (0 for the lowest one)**: 0 meV/atom

Cell and atoms, written as POSCAR:
```
PmTh2Sb
1.0
-3.0380 -2.9760 -2.9447
-2.6695 -1.0575 3.8228
-2.8014 3.7649 -0.9147
Th Sb Pm
2 1 1
Cartesian
-1.4007 1.8824 -0.4574
-1.3348 -0.5288 1.9114
-1.5190 -1.4880 -1.4724
-4.2545 -0.1343 -0.0183
```

---

Density functional theory data (PBE) for a relaxed structure of PmSmTmZr.

Computed properties:
**Symmetry**: F-43m
**Energy of formation from the pure elements**: 0.238 eV per atom

Cell and atoms, written as POSCAR:
```
PmSmTmZr
1.0
5.5376 0.0000 0.0000
2.7688 4.7957 0.0000
2.7688 1.5986 4.5214
Pm Tm Zr Sm
1 1 1 1
Cartesian
0.0000 0.0000 0.0000
5.5376 3.1971 2.2607
2.7688 1.5986 1.1304
8.3064 4.7957 3.3911
```

---

Density functional theory data (PBE) for a relaxed structure of LaTbAlPb.

Computed properties:
**Symmetry**: F-43m
**Energy of formation from the pure elements**: -0.370 eV per atom

Cell and atoms, written as POSCAR:
```
LaTbAlPb
1.0
5.4343 0.0000 0.0000
2.7172 4.7063 0.0000
2.7172 1.5688 4.4371
La Al Tb Pb
1 1 1 1
Cartesian
5.4343 3.1375 2.2186
8.1515 4.7063 3.3278
0.0000 0.0000 0.0000
2.7172 1.5688 1.1093
```

---

Density functional theory data (PBE) for a relaxed structure of Mg2TeAs.

Computed properties:
**Symmetry**: C2/m
**E_form (uncorrected)**: -0.287 eV per atom
**Polymorph energy (0 for the lowest one)**: 243 meV/atom

Cell and atoms, written as POSCAR:
```
Mg2TeAs
1.0
-0.2808 -1.6142 4.8007
2.8236 -3.6625 -2.0844
3.7204 0.7356 1.4586
Mg As Te
2 1 1
Cartesian
1.2714 -2.6384 1.3582
0.0000 0.0000 0.0000
3.2720 -1.4635 -0.3129
1.7198 -0.4393 3.1297
```

---

Density functional theory data (PBE) for a relaxed structure of AlPSe.

Computed properties:
**Symmetry**: P-1
**E_form (uncorrected)**: -0.513 eV per atom

Cell and atoms, written as POSCAR:
```
AlPSe
1.0
-1.3304 3.3141 -0.5242
-1.2566 -1.5728 -6.7550
-4.8714 -3.1061 4.7416
Se Al P
2 2 2
Cartesian
-3.1651 1.1317 -3.4515
-4.2934 -2.4965 0.9140
-6.1641 -1.4673 -0.2576
-1.2943 0.1025 -2.2799
-1.0264 0.5710 0.0021
-6.4320 -1.9358 -2.5396
```

---

Density functional theory data (PBE) for a relaxed structure of Ag2Sn2Br7.

Computed properties:
**Symmetry**: Cm
**E_form (uncorrected)**: -0.475 eV per atom
**Polymorph energy (0 for the lowest one)**: 25 meV/atom

Cell and atoms, written as POSCAR:
```
Ag2Sn2Br7
1.0
-5.3435 1.4424 4.3336
3.8110 -2.6565 5.9576
2.5927 6.9856 1.2461
Br Sn Ag
7 2 2
Cartesian
1.2543 2.1806 4.1384
-2.3708 0.5258 6.0061
-0.8648 0.5221 1.2922
-0.4666 3.9455 8.1952
2.9068 5.4585 5.5954
3.3815 1.7013 7.4313
-2.7957 3.8882 4.3631
3.1435 4.8046 3.0113
3.7348 0.1247 5.2981
-1.3732 1.6259 3.6826
1.4227 3.3587 6.5057
```

---

Number 1: raw total energy -3.204 eV per atom. Number 2: raw total energy -2.938 eV per atom. Number 3: raw total energy -6.974 eV per atom. Number 4: raw total energy -6.307 eV per atom. Number 5: raw total energy -4.362 eV per atom. Number 6: raw total energy -1.273 eV per atom. Number 7: raw total energy -4.808 eV per atom. Number 8: raw total energy -6.364 eV per atom. Number 9: raw total energy -5.384 eV per atom. Number 10: raw total energy -4.623 eV per atom. Number 11: raw total energy -3.032 eV per atom. Number 12: raw total energy -4.726 eV per atom. Number 13: raw total energy -2.786 eV per atom.